# 1
VASP calculation (meta-GGA SCAN) on MgScC2S at its PBEsol-relaxed geometry.

extended XYZ file:
```
5
Lattice="4.153 0.000 0.000 0.000 4.153 0.000 0.000 0.000 4.905" Properties=species:S:1:pos:R:3 pbc="T T T"
S 0.000 0.000 2.453
Mg 2.077 2.077 2.453
Sc 0.000 0.000 0.000
C 0.000 2.077 0.000
C 2.077 0.000 0.000
```

Calculated values
Crystal system ... tetragonal
Uncorrected formation energy ... 5.66 eV/f.u.

---

# 2
VASP calculation (meta-GGA SCAN) on SrCu2Ir at its PBEsol-relaxed geometry.

extended XYZ file:
```
4
Lattice="-0.886 -3.658 1.959 4.029 1.269 -0.402 -2.719 2.859 4.109" Properties=species:S:1:pos:R:3 pbc="T T T"
Cu 0.666 -1.351 2.372
Cu -0.060 0.466 0.844
Ir 2.292 0.386 1.758
Sr -0.246 1.839 3.323
```

Calculated values
ΔH_f (0 K) ... -112.6 meV/atom
Crystal system ... trigonal
Energy relative to the lowest polymorph listed for this composition ... 18 meV per atom

---

# 3
VASP calculation (meta-GGA SCAN) on K2BaY at its PBEsol-relaxed geometry.

extended XYZ file:
```
4
Lattice="5.396 0.000 0.000 0.000 5.396 0.000 -2.698 -2.698 6.959" Properties=species:S:1:pos:R:3 pbc="T T T"
Y 2.698 2.698 0.000
Ba 0.000 0.000 0.000
K 2.698 0.000 3.479
K 0.000 2.698 3.479
```

Calculated values
ΔH_f (0 K) ... 460.6 meV/atom
Crystal system ... tetragonal
Energy relative to the lowest polymorph listed for this composition ... 182 meV per atom

---

# 4
VASP calculation (meta-GGA SCAN) on AlOsO3 at its PBEsol-relaxed geometry.

extended XYZ file:
```
5
Lattice="3.882 0.000 0.000 0.000 3.882 0.000 0.000 0.000 3.882" Properties=species:S:1:pos:R:3 pbc="T T T"
Al 1.941 1.941 1.941
Os 0.000 0.000 0.000
O 1.941 0.000 0.000
O 0.000 1.941 0.000
O 0.000 0.000 1.941
```

Calculated values
Crystal system ... cubic
Uncorrected formation energy ... -2.98 eV/f.u.

---

# 5
VASP calculation (meta-GGA SCAN) on ScNbAuSe2 at its PBEsol-relaxed geometry.

extended XYZ file:
```
5
Lattice="4.844 0.000 0.000 0.000 4.844 0.000 0.000 0.000 5.194" Properties=species:S:1:pos:R:3 pbc="T T T"
Se 2.422 0.000 0.000
Se 0.000 2.422 0.000
Nb 0.000 0.000 2.597
Au 2.422 2.422 2.597
Sc 0.000 0.000 0.000
```

Calculated values
Crystal system ... tetragonal
Uncorrected formation energy ... 3.10 eV/f.u.

---

# 6
VASP calculation (meta-GGA SCAN) on Ca2SeBr at its PBEsol-relaxed geometry.

extended XYZ file:
```
4
Lattice="-1.765 3.368 -0.994 -3.393 -1.415 1.231 3.818 1.533 6.180" Properties=species:S:1:pos:R:3 pbc="T T T"
Ca -0.395 2.671 1.981
Ca -1.423 3.317 5.995
Se -2.473 1.190 0.655
Br -0.967 0.769 4.322
```

Calculated values
Crystal system ... orthorhombic
Uncorrected formation energy ... -6.91 eV/f.u.
Energy relative to the lowest polymorph listed for this composition ... 107 meV per atom

---

# 7
VASP calculation (meta-GGA SCAN) on KMg5 at its PBEsol-relaxed geometry.

extended XYZ file:
```
6
Lattice="5.058 0.000 0.000 0.000 6.280 0.000 0.000 -3.140 5.438" Properties=species:S:1:pos:R:3 pbc="T T T"
K 0.000 0.000 0.000
Mg 0.000 0.000 3.626
Mg 2.529 -1.570 2.719
Mg 2.529 3.140 0.000
Mg 2.529 1.570 2.719
Mg 0.000 3.140 1.813
```

Calculated values
ΔH_f (0 K) ... 119.4 meV/atom
Crystal system ... hexagonal

---

# 8
VASP calculation (meta-GGA SCAN) on SiWSe3 at its PBEsol-relaxed geometry.

extended XYZ file:
```
5
Lattice="4.649 0.000 0.000 0.000 4.649 0.000 0.000 0.000 4.649" Properties=species:S:1:pos:R:3 pbc="T T T"
Si 0.000 0.000 0.000
Se 0.000 2.324 0.000
Se 0.000 0.000 2.324
Se 2.324 0.000 0.000
W 2.324 2.324 2.324
```

Calculated values
Crystal system ... cubic
Uncorrected formation energy ... 5.88 eV/f.u.

---

# 9
VASP calculation (meta-GGA SCAN) on TlMo2Rh at its PBEsol-relaxed geometry.

extended XYZ file:
```
4
Lattice="-1.617 -1.734 -2.476 2.917 -1.631 -0.762 -1.333 -4.146 3.774" Properties=species:S:1:pos:R:3 pbc="T T T"
Tl -0.016 -3.756 0.268
Mo -0.268 -0.834 0.759
Mo -1.064 -3.312 3.015
Rh 0.650 -1.683 -1.619
```

Calculated values
ΔH_f (0 K) ... 492.4 meV/atom
Crystal system ... tetragonal
Energy relative to the lowest polymorph listed for this composition ... 142 meV per atom

---

# 10
VASP calculation (meta-GGA SCAN) on Ti3NbZnBi3O14 at its PBEsol-relaxed geometry.

extended XYZ file:
```
88
Lattice="10.304 0.000 0.000 0.000 10.304 0.000 0.000 0.000 10.304" Properties=species:S:1:pos:R:3 pbc="T T T"
O 7.759 2.566 0.537
O 0.537 7.759 2.566
O 5.183 3.113 0.010
O 7.697 7.738 5.689
O 7.628 9.748 7.783
O 5.142 5.121 8.265
O 9.767 2.607 2.586
O 8.285 0.100 10.250
O 7.738 5.689 7.697
O 2.476 5.709 2.522
O 5.098 7.172 10.204
O 0.055 3.133 5.052
O 3.133 5.052 0.055
O 0.556 2.631 7.828
O 7.828 0.556 2.631
O 5.052 0.055 3.133
O 3.113 0.010 5.183
O 4.940 4.940 4.940
O 2.788 2.788 2.788
O 7.516 7.940 2.364
O 0.010 5.183 3.113
O 7.674 2.676 4.596
O 4.596 7.674 2.676
O 5.162 10.273 7.191
O 2.020 5.252 5.207
O 2.364 7.516 7.940
O 8.265 5.142 5.121
O 5.252 5.207 2.020
O 10.092 0.212 5.364
O 2.676 4.596 7.674
O 2.586 9.767 2.607
O 0.100 10.250 8.285
O 0.031 2.039 10.294
O 2.566 0.537 7.759
O 5.689 7.697 7.738
O 10.250 8.285 0.100
O 5.709 2.522 2.476
O 4.615 2.545 7.718
O 7.191 5.162 10.273
O 7.783 7.628 9.748
O 2.631 7.828 0.556
O 7.172 10.204 5.098
O 5.207 2.020 5.252
O 5.121 8.265 5.142
O 7.718 4.615 2.545
O 7.940 2.364 7.516
O 10.294 0.031 2.039
O 2.522 2.476 5.709
O 2.039 10.294 0.031
O 2.545 7.718 4.615
O 2.607 2.586 9.767
O 10.273 7.191 5.162
O 0.212 5.364 10.092
O 10.204 5.098 7.172
O 5.364 10.092 0.212
O 9.748 7.783 7.628
Bi 6.440 3.671 6.247
Bi 6.633 1.095 9.016
Bi 4.057 1.288 1.481
Bi 3.671 6.247 6.440
Bi 6.247 6.440 3.671
Bi 9.016 6.633 1.095
Bi 1.288 1.481 4.057
Bi 3.864 8.823 9.209
Bi 1.095 9.016 6.633
Bi 8.823 9.209 3.864
Bi 9.209 3.864 8.823
Bi 1.481 4.057 1.288
Zn 9.016 1.288 6.440
Zn 3.864 3.864 3.864
Zn 6.440 9.016 1.288
Zn 1.288 6.440 9.016
Nb 9.016 9.016 9.016
Nb 3.864 6.440 1.288
Nb 6.440 1.288 3.864
Nb 1.288 3.864 6.440
Ti 8.900 6.440 6.324
Ti 6.324 8.900 6.440
Ti 3.748 9.016 3.980
Ti 1.172 6.556 3.864
Ti 3.864 1.172 6.556
Ti 6.556 3.864 1.172
Ti 1.404 1.288 9.132
Ti 6.440 6.324 8.900
Ti 3.980 3.748 9.016
Ti 9.016 3.980 3.748
Ti 1.288 9.132 1.404
Ti 9.132 1.404 1.288
```

Calculated values
Crystal system ... cubic
Uncorrected formation energy ... -51.74 eV/f.u.

---

# 11
VASP calculation (meta-GGA SCAN) on TlCrP2O7 at its PBEsol-relaxed geometry.

extended XYZ file:
```
44
Lattice="7.452 -0.005 0.000 -2.289 7.886 0.000 0.000 0.000 9.884" Properties=species:S:1:pos:R:3 pbc="T T T"
O 0.252 3.858 3.912
O -0.689 5.786 5.692
O -0.184 2.035 2.138
O 2.639 5.959 7.295
O 2.015 6.126 9.857
O 5.853 2.095 4.191
O 0.455 1.843 9.133
O 0.407 7.736 4.055
O 3.612 4.088 8.997
O 1.380 5.865 2.353
O 2.004 5.697 4.915
O 5.494 2.461 9.352
O 3.784 2.016 7.531
O 0.814 1.477 4.410
O -0.893 7.801 1.030
O 4.912 4.023 5.972
O -1.328 5.978 2.804
O 2.524 1.922 2.589
O 6.056 0.080 8.854
O 4.350 6.403 5.473
O 5.347 5.845 7.745
O 4.757 0.145 5.828
O 3.149 1.754 0.027
O 6.492 1.903 7.080
O 3.159 2.184 4.969
O 4.709 6.037 0.750
O 1.551 3.793 0.887
O -0.331 5.420 0.531
P 5.394 5.433 6.264
P 1.219 5.253 0.949
P 2.800 6.571 5.891
P 3.945 2.628 8.934
P -0.230 2.448 3.620
P 6.538 1.490 8.562
P 2.363 1.310 3.993
P -1.375 6.391 1.322
Tl 1.361 3.535 6.754
Tl 4.947 0.403 1.812
Tl 0.216 7.478 8.072
Tl 3.803 4.346 3.130
Cr 3.752 6.005 8.895
Cr 4.897 2.062 5.931
Cr 0.267 5.819 3.953
Cr 1.411 1.876 0.989
```

Calculated values
Crystal system ... monoclinic
Uncorrected formation energy ... -25.98 eV/f.u.

---

# 12
VASP calculation (meta-GGA SCAN) on Y2TaSbN at its PBEsol-relaxed geometry.

extended XYZ file:
```
5
Lattice="-0.603 4.770 1.695 -5.344 -0.496 -0.504 -0.307 -1.836 5.059" Properties=species:S:1:pos:R:3 pbc="T T T"
Sb -0.302 2.385 0.847
N -3.127 1.219 3.125
Y -2.672 -0.248 -0.252
Y -0.153 -0.918 2.530
Ta 0.000 0.000 0.000
```

Calculated values
Crystal system ... tetragonal
Uncorrected formation energy ... 6.11 eV/f.u.